#A
# GGA-PBE Na2Zr2Tc, relaxed
data_Na2Zr2Tc
_chemical_formula_sum 'Na2 Zr2 Tc1'
_cell_length_a 9.7635
_cell_length_b 9.7635
_cell_length_c 9.7635
_cell_angle_alpha 159.67
_cell_angle_beta 159.67
_cell_angle_gamma 28.90
_space_group_name_H-M_alt 'P 1'
_space_group_IT_number 1
loop_
_space_group_symop_operation_xyz
'x,y,z'
loop_
_atom_site_label
_atom_site_type_symbol
_atom_site_fract_x
_atom_site_fract_y
_atom_site_fract_z
Na1 Na 0.2500 0.7500 0.5000
Na2 Na 0.7500 0.2500 0.5000
Zr1 Zr 0.0807 0.0807 0.0000
Zr2 Zr 0.9193 0.9193 0.0000
Tc1 Tc 0.5000 0.5000 0.0000
# - Magnetization: 0.000 μB per atom
# - Space group: No. 139

=====

#B
# GGA-PBE Na2Zr2Tc, relaxed
data_Na2Zr2Tc
_chemical_formula_sum 'Na4 Zr4 Tc2'
_cell_length_a 6.7187
_cell_length_b 6.7187
_cell_length_c 6.0939
_cell_angle_alpha 90.00
_cell_angle_beta 90.00
_cell_angle_gamma 90.00
_space_group_name_H-M_alt 'P 1'
_space_group_IT_number 1
loop_
_space_group_symop_operation_xyz
'x,y,z'
loop_
_atom_site_label
_atom_site_type_symbol
_atom_site_fract_x
_atom_site_fract_y
_atom_site_fract_z
Na1 Na 0.1780 0.3220 0.0000
Na2 Na 0.3220 0.8220 0.0000
Na3 Na 0.6780 0.1780 0.0000
Na4 Na 0.8220 0.6780 0.0000
Zr1 Zr 0.1698 0.6698 0.5000
Zr2 Zr 0.3302 0.1698 0.5000
Zr3 Zr 0.6698 0.8302 0.5000
Zr4 Zr 0.8302 0.3302 0.5000
Tc1 Tc 0.0000 0.0000 0.5000
Tc2 Tc 0.5000 0.5000 0.5000
# - Magnetization: 0.000 μB per atom
# - Space group: No. 127

=====

Result of the stability comparison: #A is the most stable of them.

=====

#A
# GGA-PBE NaTe3, relaxed
data_NaTe3
_chemical_formula_sum 'Na1 Te3'
_cell_length_a 4.6039
_cell_length_b 6.1038
_cell_length_c 4.4435
_cell_angle_alpha 90.00
_cell_angle_beta 90.00
_cell_angle_gamma 90.00
_space_group_name_H-M_alt 'P 1'
_space_group_IT_number 1
loop_
_space_group_symop_operation_xyz
'x,y,z'
loop_
_atom_site_label
_atom_site_type_symbol
_atom_site_fract_x
_atom_site_fract_y
_atom_site_fract_z
Na1 Na 0.0000 0.0000 0.0000
Te1 Te 0.0000 0.5000 0.8963
Te2 Te 0.5000 0.0000 0.4963
Te3 Te 0.5000 0.5000 0.3799
# - Magnetization: 0.000 μB per atom
# - Space group: No. 25

=====

#B
# GGA-PBE NaTe3, relaxed
data_NaTe3
_chemical_formula_sum 'Na1 Te3'
_cell_length_a 7.1453
_cell_length_b 7.1453
_cell_length_c 7.1453
_cell_angle_alpha 143.20
_cell_angle_beta 143.20
_cell_angle_gamma 53.02
_space_group_name_H-M_alt 'P 1'
_space_group_IT_number 1
loop_
_space_group_symop_operation_xyz
'x,y,z'
loop_
_atom_site_label
_atom_site_type_symbol
_atom_site_fract_x
_atom_site_fract_y
_atom_site_fract_z
Na1 Na 0.0000 0.0000 0.0000
Te1 Te 0.2634 0.2634 0.0000
Te2 Te 0.5000 0.5000 0.0000
Te3 Te 0.7366 0.7366 0.0000
# - Magnetization: 0.000 μB per atom
# - Space group: No. 139

=====

Result of the stability comparison: #B is the most stable of them.

=====

#A
# GGA-PBE Na3Te, relaxed
data_Na3Te
_chemical_formula_sum 'Na3 Te1'
_cell_length_a 5.5215
_cell_length_b 5.5215
_cell_length_c 5.5215
_cell_angle_alpha 119.65
_cell_angle_beta 119.65
_cell_angle_gamma 90.61
_space_group_name_H-M_alt 'P 1'
_space_group_IT_number 1
loop_
_space_group_symop_operation_xyz
'x,y,z'
loop_
_atom_site_label
_atom_site_type_symbol
_atom_site_fract_x
_atom_site_fract_y
_atom_site_fract_z
Na1 Na 0.0000 0.0000 0.0000
Na2 Na 0.2500 0.7500 0.5000
Na3 Na 0.7500 0.2500 0.5000
Te1 Te 0.5000 0.5000 0.0000
# - Magnetization: 0.000 μB per atom
# - Space group: No. 139

=====

#B
# GGA-PBE Na3Te, relaxed
data_Na3Te
_chemical_formula_sum 'Na3 Te1'
_cell_length_a 4.8731
_cell_length_b 4.8731
_cell_length_c 4.8731
_cell_angle_alpha 90.00
_cell_angle_beta 90.00
_cell_angle_gamma 90.00
_space_group_name_H-M_alt 'P 1'
_space_group_IT_number 1
loop_
_space_group_symop_operation_xyz
'x,y,z'
loop_
_atom_site_label
_atom_site_type_symbol
_atom_site_fract_x
_atom_site_fract_y
_atom_site_fract_z
Na1 Na 0.0000 0.0000 0.5000
Na2 Na 0.0000 0.5000 0.0000
Na3 Na 0.5000 0.0000 0.0000
Te1 Te 0.5000 0.5000 0.5000
# - Magnetization: 0.203 μB per atom
# - Space group: No. 221

=====

Result of the stability comparison: #B is the most stable of them.

=====

#A
# GGA-PBE Na3TiTe, relaxed
data_Na3TiTe
_chemical_formula_sum 'Na3 Ti1 Te1'
_cell_length_a 5.7882
_cell_length_b 5.7882
_cell_length_c 5.7882
_cell_angle_alpha 90.00
_cell_angle_beta 90.00
_cell_angle_gamma 90.00
_space_group_name_H-M_alt 'P 1'
_space_group_IT_number 1
loop_
_space_group_symop_operation_xyz
'x,y,z'
loop_
_atom_site_label
_atom_site_type_symbol
_atom_site_fract_x
_atom_site_fract_y
_atom_site_fract_z
Na1 Na 0.0000 0.0000 0.5000
Na2 Na 0.0000 0.5000 0.0000
Na3 Na 0.5000 0.0000 0.0000
Ti1 Ti 0.0000 0.0000 0.0000
Te1 Te 0.5000 0.5000 0.5000
# - Magnetization: 0.600 μB per atom
# - Space group: No. 221

=====

#B
# GGA-PBE Na3TiTe, relaxed
data_Na3TiTe
_chemical_formula_sum 'Na3 Ti1 Te1'
_cell_length_a 5.8738
_cell_length_b 5.8738
_cell_length_c 5.8738
_cell_angle_alpha 90.00
_cell_angle_beta 90.00
_cell_angle_gamma 90.00
_space_group_name_H-M_alt 'P 1'
_space_group_IT_number 1
loop_
_space_group_symop_operation_xyz
'x,y,z'
loop_
_atom_site_label
_atom_site_type_symbol
_atom_site_fract_x
_atom_site_fract_y
_atom_site_fract_z
Na1 Na 0.0000 0.0000 0.5000
Na2 Na 0.0000 0.5000 0.0000
Na3 Na 0.5000 0.0000 0.0000
Ti1 Ti 0.5000 0.5000 0.5000
Te1 Te 0.0000 0.0000 0.0000
# - Magnetization: 0.600 μB per atom
# - Space group: No. 221

=====

Result of the stability comparison: #B is the most stable of them.